Below is MgHgP2 at its PBEsol-relaxed geometry, with properties calculated at the SCAN level. Values from VASP.

The structure in Quantum ESPRESSO input format:
```
&SYSTEM
  ibrav = 0, nat = 4, ntyp = 3
/
ATOMIC_SPECIES
Mg 24.30 Mg.upf
Hg 200.59 Hg.upf
P 30.97 P.upf
ATOMIC_POSITIONS crystal
Mg 0.000 0.000 0.000
Hg 0.000 0.000 0.500
P 0.500 0.500 0.186
P 0.500 0.500 0.814
CELL_PARAMETERS angstrom
3.633 0.000 0.000
0.000 3.633 0.000
0.000 0.000 5.766
```

Calculated values
distance to the lowest polymorph of the same formula	0	kJ/mol of formula units
VASP energy	-1.725	Ry/atom
M_tot	0.00	μB/f.u.


Below is Mg4HgP at its PBEsol-relaxed geometry, with properties calculated at the SCAN level. Values from VASP.

The structure in Quantum ESPRESSO input format:
```
&SYSTEM
  ibrav = 0, nat = 6, ntyp = 3
/
ATOMIC_SPECIES
Mg 24.30 Mg.upf
Hg 200.59 Hg.upf
P 30.97 P.upf
ATOMIC_POSITIONS crystal
Mg 0.376 0.376 0.376
Mg 0.376 0.376 0.873
Mg 0.376 0.873 0.376
Mg 0.873 0.376 0.376
Hg 0.000 0.000 0.000
P 0.750 0.750 0.750
CELL_PARAMETERS angstrom
0.000 3.974 3.974
3.974 0.000 3.974
3.974 3.974 0.000
```

Calculated values
VASP energy	-1.191	Ry/atom
M_tot	0.00	μB/f.u.


Below is Mg2HgP2 at its PBEsol-relaxed geometry, with properties calculated at the SCAN level. Values from VASP.

The structure in Quantum ESPRESSO input format:
```
&SYSTEM
  ibrav = 0, nat = 10, ntyp = 3
/
ATOMIC_SPECIES
Mg 24.30 Mg.upf
Hg 200.59 Hg.upf
P 30.97 P.upf
ATOMIC_POSITIONS crystal
Mg 0.000 0.500 0.250
Mg 0.000 0.500 0.750
Mg 0.500 0.000 0.250
Mg 0.500 0.000 0.750
Hg 0.000 0.000 0.000
Hg 0.500 0.500 0.500
P 0.000 0.000 0.381
P 0.000 0.000 0.619
P 0.500 0.500 0.119
P 0.500 0.500 0.881
CELL_PARAMETERS angstrom
4.650 0.000 0.000
0.000 4.650 0.000
0.000 0.000 9.241
```

Calculated values
VASP energy	-1.487	Ry/atom
M_tot	0.00	μB/f.u.


Below is MgHgPb2 at its PBEsol-relaxed geometry, with properties calculated at the SCAN level. Values from VASP.

The structure in Quantum ESPRESSO input format:
```
&SYSTEM
  ibrav = 0, nat = 8, ntyp = 3
/
ATOMIC_SPECIES
Mg 24.30 Mg.upf
Hg 200.59 Hg.upf
Pb 207.20 Pb.upf
ATOMIC_POSITIONS crystal
Mg 0.000 0.000 0.000
Mg 0.500 0.500 0.500
Hg 0.000 0.500 0.750
Hg 0.500 0.000 0.250
Pb 0.000 0.000 0.500
Pb 0.000 0.500 0.250
Pb 0.500 0.000 0.750
Pb 0.500 0.500 0.000
CELL_PARAMETERS angstrom
4.720 0.000 0.000
0.000 4.720 0.000
0.000 0.000 9.301
```

Calculated values
VASP energy	-4.132	Ry/atom
M_tot	0.00	μB/f.u.


Below is MgHgPb2 at its PBEsol-relaxed geometry, with properties calculated at the SCAN level. Values from VASP.

The structure in Quantum ESPRESSO input format:
```
&SYSTEM
  ibrav = 0, nat = 8, ntyp = 3
/
ATOMIC_SPECIES
Mg 24.30 Mg.upf
Hg 200.59 Hg.upf
Pb 207.20 Pb.upf
ATOMIC_POSITIONS crystal
Mg 0.000 0.000 0.000
Mg 0.500 0.500 0.000
Hg 0.000 0.000 0.500
Hg 0.500 0.500 0.500
Pb 0.000 0.500 0.246
Pb 0.000 0.500 0.754
Pb 0.500 0.000 0.246
Pb 0.500 0.000 0.754
CELL_PARAMETERS angstrom
3.668 0.000 0.000
0.000 5.654 0.000
0.000 0.000 10.278
```

Calculated values
VASP energy	-4.130	Ry/atom
M_tot	0.00	μB/f.u.


Below is Mg2HgPb at its PBEsol-relaxed geometry, with properties calculated at the SCAN level. Values from VASP.

The structure in Quantum ESPRESSO input format:
```
&SYSTEM
  ibrav = 0, nat = 8, ntyp = 3
/
ATOMIC_SPECIES
Mg 24.30 Mg.upf
Hg 200.59 Hg.upf
Pb 207.20 Pb.upf
ATOMIC_POSITIONS crystal
Mg 0.000 0.000 0.000
Mg 0.000 0.500 0.250
Mg 0.500 0.000 0.750
Mg 0.500 0.500 0.500
Hg 0.000 0.500 0.750
Hg 0.500 0.000 0.250
Pb 0.000 0.000 0.500
Pb 0.500 0.500 0.000
CELL_PARAMETERS angstrom
4.331 0.000 0.000
0.000 4.331 0.000
0.000 0.000 9.827
```

Calculated values
distance to the lowest polymorph of the same formula	30	kJ/mol of formula units
VASP energy	-2.841	Ry/atom
M_tot	0.00	μB/f.u.


Below is Mg2HgPb at its PBEsol-relaxed geometry, with properties calculated at the SCAN level. Values from VASP.

The structure in Quantum ESPRESSO input format:
```
&SYSTEM
  ibrav = 0, nat = 4, ntyp = 3
/
ATOMIC_SPECIES
Mg 24.30 Mg.upf
Hg 200.59 Hg.upf
Pb 207.20 Pb.upf
ATOMIC_POSITIONS crystal
Mg 0.001 0.000 0.220
Mg 0.999 0.000 0.780
Hg 0.500 0.500 0.000
Pb 0.500 0.500 0.500
CELL_PARAMETERS angstrom
3.510 0.000 0.000
0.000 3.508 0.000
-0.013 0.000 7.398
```

Calculated values
distance to the lowest polymorph of the same formula	0	kJ/mol of formula units
VASP energy	-2.847	Ry/atom
M_tot	0.00	μB/f.u.


Below is MgHgPb2 at its PBEsol-relaxed geometry, with properties calculated at the SCAN level. Values from VASP.

The structure in Quantum ESPRESSO input format:
```
&SYSTEM
  ibrav = 0, nat = 8, ntyp = 3
/
ATOMIC_SPECIES
Mg 24.30 Mg.upf
Hg 200.59 Hg.upf
Pb 207.20 Pb.upf
ATOMIC_POSITIONS crystal
Mg 0.000 0.000 0.000
Mg 0.500 0.500 0.000
Hg 0.000 0.500 0.806
Hg 0.500 0.000 0.806
Pb 0.000 0.000 0.550
Pb 0.000 0.500 0.255
Pb 0.500 0.000 0.255
Pb 0.500 0.500 0.550
CELL_PARAMETERS angstrom
4.867 0.000 0.000
0.000 4.875 0.000
0.000 0.000 8.592
```

Calculated values
VASP energy	-4.138	Ry/atom
M_tot	0.00	μB/f.u.